Entry 1:
A relaxed structure of Zr4Hg5H2, computed with PBE.

a b c (Å): 3.1191 8.2178 16.6870
angles (deg): 90.00 90.00 90.00
Closest atoms and distances in Å follow each position.
Space group Immm (No. 71)
Inequivalent atoms, fractional coordinates:
1 Zr 0.0000 0.0000 0.1645 [4 per cell]  1 H 1.95
2 Zr 0.0000 0.3241 0.5000 [4 per cell]  4 H 2.27
3 Hg 0.0000 0.1776 0.3293 [8 per cell]  3 Hg 2.92-3.12, 4 Zr 3.08-3.11
4 Hg 0.0000 0.5000 0.0000 [2 per cell]  4 Zr 3.09, 2 Hg 3.12
5 H 0.0000 0.0000 0.0478 [4 per cell]  1 H 1.60

DOS(E_F) = 13.5 states/eV/cell
Energy = -3.938 eV/atom



Entry 2:
A relaxed structure of Rb2LaIrI6, computed with PBE.

a b c (Å): 11.9885 11.9885 11.9885
angles (deg): 90.00 90.00 90.00
Closest atoms and distances in Å follow each position.
Space group Fm-3m (No. 225)
Inequivalent atoms, fractional coordinates:
1 Rb 0.2500 0.2500 0.2500 [8 per cell]  12 I 4.24
2 La 0.0000 0.0000 0.0000 [4 per cell]  6 I 3.15
3 Ir 0.0000 0.0000 0.5000 [4 per cell]  6 I 2.84
4 I 0.0000 0.0000 0.2630 [24 per cell]  1 Ir 2.84, 1 La 3.15

Formation energy without anion corrections = -888 meV per atom
DOS(E_F) = 0.0 states/eV/cell



Entry 3:
A relaxed structure of TmB2Cl8, computed with PBE.

a b c (Å): 11.9993 9.7798 5.8881
angles (deg): 90.00 99.44 90.00
Closest atoms and distances in Å follow each position.
Space group C2/m (No. 12)
Inequivalent atoms, fractional coordinates:
1 Tm 0.0000 0.0000 0.0000 [2 per cell]  6 Cl 2.69-2.70
2 B 0.1993 0.0000 0.6543 [4 per cell]  4 Cl 1.79-1.94
3 Cl 0.1195 0.1526 0.7460 [8 per cell]  1 B 1.90
4 Cl 0.1542 0.5000 0.2228 [4 per cell]  1 B 1.79
5 Cl 0.1881 0.0000 0.3213 [4 per cell]  1 B 1.94

Formation energy without anion corrections = -1107 meV per atom
DOS(E_F) = 1.2 states/eV/cell



Entry 4:
A relaxed structure of K2LiSiAs2, computed with PBE.

a b c (Å): 6.4169 15.0491 6.4155
angles (deg): 90.00 90.00 90.00
Closest atoms and distances in Å follow each position.
Space group Ibam (No. 72)
Inequivalent atoms, fractional coordinates:
1 K 0.2338 0.1719 0.0000 [8 per cell]  5 As 3.39-3.60, 2 Li 3.39, 2 Si 3.49
2 Li 0.0000 0.0000 0.2500 [4 per cell]  4 As 2.73
3 Si 0.0000 0.5000 0.2500 [4 per cell]  4 As 2.54
4 As 0.2253 0.4111 0.0000 [8 per cell]  2 Si 2.54, 2 Li 2.73

Formation energy without anion corrections = -402 meV per atom
DOS(E_F) = 5.9 states/eV/cell



Entry 5:
A relaxed structure of ReSbAs2, computed with PBE.

a b c (Å): 3.2096 3.2096 26.5324
angles (deg): 90.00 90.00 120.00
Closest atoms and distances in Å follow each position.
Space group R-3m (No. 166, hexagonal axes)
Inequivalent atoms, fractional coordinates:
1 Re 0.0000 0.0000 0.0000 [3 per cell]  6 As 2.56
2 Sb 0.0000 0.0000 0.5000 [3 per cell]  6 Sb 3.21, 6 As 3.24
3 As 0.0000 0.0000 0.2667 [6 per cell]  3 Re 2.56

Formation energy without anion corrections = 165 meV per atom
DOS(E_F) = 6.4 states/eV/cell



Entry 6:
A relaxed structure of ZrNbPd, computed with PBE.

a b c (Å): 4.7070 4.7070 5.7899
angles (deg): 90.00 90.00 120.00
Closest atoms and distances in Å follow each position.
Space group P3m1 (No. 156)
Inequivalent atoms, fractional coordinates:
1 Zr 0.0000 0.0000 0.0000 [1 per cell]  2 Nb 2.81-2.98, 6 Pd 2.85-2.88
2 Zr 0.3333 0.6667 0.3573 [1 per cell]  5 Pd 2.85-2.94, 3 Nb 2.86
3 Nb 0.0000 0.0000 0.5140 [1 per cell]  5 Zr 2.81-2.98, 3 Nb 2.85
4 Nb 0.6667 0.3333 0.6631 [1 per cell]  3 Nb 2.85, 5 Pd 2.88-2.93
5 Pd 0.3333 0.6667 0.8501 [1 per cell]  5 Zr 2.85-2.94, 3 Nb 2.93
6 Pd 0.6667 0.3333 0.1662 [1 per cell]  2 Nb 2.88-2.91, 6 Zr 2.88-2.93

Formation enthalpy at 0 K = -0.29 eV per atom
DOS(E_F) = 4.2 states/eV/cell



Entry 7:
A relaxed structure of Ba5SiO8, computed with PBE.

a b c (Å): 7.9639 7.9639 9.5308
angles (deg): 90.00 90.00 90.00
Closest atoms and distances in Å follow each position.
Space group I-4 (No. 82)
Inequivalent atoms, fractional coordinates:
1 Ba 0.0000 0.0000 0.0000 [2 per cell]  4 O 2.60
2 Ba 0.1062 0.7213 0.6047 [8 per cell]  4 O 2.50-2.74
3 Si 0.0000 0.5000 0.2500 [2 per cell]  4 O 1.66
4 O 0.0218 0.3283 0.3471 [8 per cell]  1 Si 1.66
5 O 0.0697 0.7208 0.8723 [8 per cell]  3 Ba 2.50-2.60

Formation energy without anion corrections = -2274 meV per atom
DOS(E_F) = 19.9 states/eV/cell



Entry 8:
A relaxed structure of GeIrI3, computed with PBE.

a b c (Å): 5.7243 5.7243 5.7243
angles (deg): 90.00 90.00 90.00
Closest atoms and distances in Å follow each position.
Space group Pm-3m (No. 221)
Inequivalent atoms, fractional coordinates:
1 Ge 0.0000 0.0000 0.0000 [1 per cell]  6 I 2.86
2 Ir 0.5000 0.5000 0.5000 [1 per cell]  12 I 4.05
3 I 0.0000 0.0000 0.5000 [3 per cell]  2 Ge 2.86

Formation energy without anion corrections = 1177 meV per atom
DOS(E_F) = 7.8 states/eV/cell



Entry 9:
A relaxed structure of Ce2Pm5Sn4, computed with PBE.

a b c (Å): 4.4617 8.0848 20.6998
angles (deg): 90.00 90.00 90.00
Closest atoms and distances in Å follow each position.
Space group Immm (No. 71)
Inequivalent atoms, fractional coordinates:
1 Ce 0.0000 0.0000 0.0653 [4 per cell]  1 Ce 2.70
2 Pm 0.0000 0.2419 0.3379 [8 per cell]  4 Sn 3.19-3.36
3 Pm 0.0000 0.5000 0.0000 [2 per cell]  4 Sn 3.12
4 Sn 0.0000 0.0000 0.2164 [4 per cell]  1 Ce 3.13, 6 Pm 3.19-3.26
5 Sn 0.0000 0.2694 0.5000 [4 per cell]  4 Pm 3.12-3.36, 4 Ce 3.21

Formation enthalpy at 0 K = -0.41 eV per atom
DOS(E_F) = 33.1 states/eV/cell



Entry 10:
A relaxed structure of Zr2TlCu, computed with PBE.

a b c (Å): 3.3101 3.3101 7.6976
angles (deg): 90.00 90.00 90.00
Closest atoms and distances in Å follow each position.
Space group P4mm (No. 99)
Inequivalent atoms, fractional coordinates:
1 Zr 0.0000 0.0000 0.0000 [1 per cell]  8 Zr 3.14-3.31, 4 Tl 3.28
2 Zr 0.5000 0.5000 0.2725 [1 per cell]  4 Cu 2.82, 4 Zr 3.14
3 Tl 0.5000 0.5000 0.7008 [1 per cell]  4 Cu 2.90
4 Cu 0.0000 0.0000 0.4779 [1 per cell]  4 Zr 2.82, 4 Tl 2.90

Formation enthalpy at 0 K = 0.00 eV per atom
DOS(E_F) = 2.6 states/eV/cell



Entry 11:
A relaxed structure of TiAlOs2, computed with PBE.

a b c (Å): 3.0735 3.0735 6.0511
angles (deg): 90.00 90.00 90.00
Closest atoms and distances in Å follow each position.
Space group P4/mmm (No. 123)
Inequivalent atoms, fractional coordinates:
1 Ti 0.0000 0.0000 0.0000 [1 per cell]  8 Os 2.66
2 Al 0.0000 0.0000 0.5000 [1 per cell]  8 Os 2.64
3 Os 0.5000 0.5000 0.2533 [2 per cell]  4 Al 2.64, 4 Ti 2.66

Formation enthalpy at 0 K = -0.57 eV per atom
DOS(E_F) = 3.7 states/eV/cell



Entry 12:
A relaxed structure of MnHgHRh2, computed with PBE.

a b c (Å): 4.0533 4.0533 3.9540
angles (deg): 90.00 90.00 90.00
Closest atoms and distances in Å follow each position.
Space group P4/mmm (No. 123)
Inequivalent atoms, fractional coordinates:
1 Mn 0.0000 0.0000 0.0000 [1 per cell]  2 H 1.98
2 Hg 0.5000 0.5000 0.0000 [1 per cell]  8 Rh 2.83, 4 Mn 2.87
3 H 0.0000 0.0000 0.5000 [1 per cell]  2 Mn 1.98, 4 Rh 2.03
4 Rh 0.0000 0.5000 0.5000 [2 per cell]  2 H 2.03

DOS(E_F) = 3.7 states/eV/cell
Energy = -5.528 eV/atom



Entry 13:
A relaxed structure of BeSnP2C, computed with PBE.

a b c (Å): 4.7742 4.7742 3.3152
angles (deg): 90.00 90.00 90.00
Closest atoms and distances in Å follow each position.
Space group P4/mmm (No. 123)
Inequivalent atoms, fractional coordinates:
1 Be 0.0000 0.0000 0.0000 [1 per cell]  2 C 1.66
2 Sn 0.5000 0.5000 0.5000 [1 per cell]  8 P 2.91
3 P 0.0000 0.5000 0.0000 [2 per cell]  2 Be 2.39
4 C 0.0000 0.0000 0.5000 [1 per cell]  2 Be 1.66

Formation enthalpy at 0 K = 1.00 eV per atom
DOS(E_F) = 2.8 states/eV/cell



Entry 14:
A relaxed structure of Zr3CuB, computed with PBE.

a b c (Å): 4.5858 4.5858 4.5858
angles (deg): 90.00 90.00 90.00
Closest atoms and distances in Å follow each position.
Space group Pm-3m (No. 221)
Inequivalent atoms, fractional coordinates:
1 Zr 0.0000 0.0000 0.5000 [3 per cell]  2 B 2.29
2 Cu 0.5000 0.5000 0.5000 [1 per cell]  12 Zr 3.24
3 B 0.0000 0.0000 0.0000 [1 per cell]  6 Zr 2.29

Formation enthalpy at 0 K = -0.02 eV per atom
DOS(E_F) = 4.6 states/eV/cell



Entry 15:
A relaxed structure of TcPbI2O, computed with PBE.

a b c (Å): 5.8814 5.8814 4.1869
angles (deg): 90.00 90.00 90.00
Closest atoms and distances in Å follow each position.
Space group P4/mmm (No. 123)
Inequivalent atoms, fractional coordinates:
1 Tc 0.0000 0.0000 0.0000 [1 per cell]  8 I 3.61
2 Pb 0.5000 0.5000 0.5000 [1 per cell]  2 O 2.09
3 I 0.0000 0.5000 0.5000 [2 per cell]  2 Pb 2.94
4 O 0.5000 0.5000 0.0000 [1 per cell]  2 Pb 2.09

Formation energy without anion corrections = 692 meV per atom
DOS(E_F) = 2.5 states/eV/cell



Entry 16:
A relaxed structure of Ho4NiIr2, computed with PBE.

a b c (Å): 4.7843 4.7843 23.4328
angles (deg): 90.00 90.00 120.00
Closest atoms and distances in Å follow each position.
Space group R-3m (No. 166, hexagonal axes)
Inequivalent atoms, fractional coordinates:
1 Ho 0.0000 0.0000 0.1242 [6 per cell]  4 Ir 2.92-2.93, 3 Ni 2.94
2 Ho 0.0000 0.0000 0.3746 [6 per cell]  4 Ir 2.94, 1 Ni 2.94
3 Ni 0.0000 0.0000 0.5000 [3 per cell]  8 Ho 2.94
4 Ir 0.0000 0.0000 0.2491 [6 per cell]  8 Ho 2.92-2.94

Formation enthalpy at 0 K = -0.73 eV per atom
DOS(E_F) = 7.2 states/eV/cell



Entry 17:
A relaxed structure of HoScGe, computed with PBE.

a b c (Å): 6.1892 14.6210 9.1806
angles (deg): 90.00 90.00 90.00
Closest atoms and distances in Å follow each position.
Space group Amm2 (No. 38)
Inequivalent atoms, fractional coordinates:
1 Ho 0.0000 0.0000 0.0000 [2 per cell]  7 Ge 2.98-3.32
2 Ho 0.0000 0.1305 0.6231 [4 per cell]  3 Ge 2.82-2.89
3 Ho 0.5000 0.0000 0.4426 [2 per cell]  2 Sc 2.85, 3 Ge 2.86-2.92
4 Ho 0.5000 0.1386 0.9111 [4 per cell]  3 Ge 2.86-2.91, 2 Sc 3.11-3.12
5 Sc 0.2515 0.1571 0.2496 [8 per cell]  4 Ge 2.90-3.20, 2 Sc 3.08-3.11
6 Sc 0.5000 0.1758 0.5780 [4 per cell]  5 Ho 2.85-3.19, 2 Ge 3.18
7 Ge 0.0000 0.0000 0.3415 [2 per cell]  4 Sc 2.90, 5 Ho 3.14-3.23
8 Ge 0.0000 0.2021 0.9553 [4 per cell]  3 Ho 2.89-3.22, 4 Sc 3.19-3.20
9 Ge 0.2965 0.0000 0.7297 [4 per cell]  1 Ge 2.52
10 Ge 0.5000 0.0000 0.1310 [2 per cell]  3 Ho 2.86, 4 Sc 2.97

Formation enthalpy at 0 K = -0.52 eV per atom
DOS(E_F) = 37.6 states/eV/cell



Entry 18:
A relaxed structure of Hg5Ru, computed with PBE.

a b c (Å): 8.2336 8.2336 8.2336
angles (deg): 90.00 90.00 90.00
Closest atoms and distances in Å follow each position.
Space group F-43m (No. 216)
Inequivalent atoms, fractional coordinates:
1 Hg 0.0000 0.0000 0.0000 [4 per cell]  12 Hg 3.42, 4 Ru 3.57
2 Hg 0.1243 0.1243 0.6243 [16 per cell]  6 Hg 2.90-2.93
3 Ru 0.2500 0.2500 0.2500 [4 per cell]  16 Hg 3.41-3.57

Formation enthalpy at 0 K = 0.73 eV per atom
DOS(E_F) = 28.6 states/eV/cell



Entry 19:
A relaxed structure of AcNdAg2Se4, computed with PBE.

a b c (Å): 7.1974 7.3768 8.4185
angles (deg): 90.00 90.00 90.00
Closest atoms and distances in Å follow each position.
Space group I222 (No. 23)
Inequivalent atoms, fractional coordinates:
1 Ac 0.0000 0.0000 0.0000 [2 per cell]  4 Se 3.17
2 Nd 0.0000 0.0000 0.5000 [2 per cell]  4 Se 2.88
3 Ag 0.0000 0.5000 0.1684 [4 per cell]  4 Se 2.59-2.85, 1 Ag 2.83
4 Se 0.2323 0.2340 0.3119 [8 per cell]  2 Ag 2.59-2.85, 1 Nd 2.88

Formation energy without anion corrections = -1135 meV per atom
DOS(E_F) = 1.2 states/eV/cell



Entry 20:
A relaxed structure of KHg2O2, computed with PBE.

a b c (Å): 7.8829 10.3388 6.3973
angles (deg): 90.00 127.57 90.00
Closest atoms and distances in Å follow each position.
Space group C2/c (No. 15)
Inequivalent atoms, fractional coordinates:
1 K 0.0000 0.1254 0.2500 [4 per cell]  6 O 3.02-3.25
2 Hg 0.1439 0.3752 0.0355 [8 per cell]  2 O 2.29
3 O 0.0000 0.1668 0.7500 [4 per cell]  2 Hg 2.29
4 O 0.0000 0.4176 0.2500 [4 per cell]  2 Hg 2.29

Formation energy without anion corrections = -455 meV per atom
DOS(E_F) = 2.4 states/eV/cell